[1]
## Rb3VIr (GGA-PBE)

Data for a geometry-optimized Rb3VIr structure.

The structure in POSCAR format:
```
Rb3VIr
1.0
6.5451 0.0000 0.0000
0.0000 6.5451 0.0000
0.0000 0.0000 6.5451
Rb V Ir
3 1 1
Cartesian
0.0000 0.0000 3.2726
0.0000 3.2726 0.0000
3.2726 0.0000 0.0000
0.0000 0.0000 0.0000
3.2726 3.2726 3.2726
```

E_form: 1.7555 eV per atom
VASP energy: -12.10 eV for the cell shown
Density of states at the Fermi level: 1.445 states/eV/atom

=====

[2]
## ZrPa4O10 (GGA-PBE)

Data for a geometry-optimized ZrPa4O10 structure.

The structure in POSCAR format:
```
ZrPa4O10
1.0
1.9171 1.1068 15.4871
-1.9171 1.1068 15.4871
0.0000 -2.2137 15.4871
Zr Pa O
1 4 10
Cartesian
0.0000 0.0000 0.0000
0.0000 0.0000 9.3246
0.0000 0.0000 18.4855
0.0000 0.0000 27.9759
0.0000 0.0000 37.1368
0.0000 0.0000 2.1844
0.0000 0.0000 6.9592
0.0000 0.0000 11.7380
0.0000 0.0000 16.1688
0.0000 0.0000 20.8483
0.0000 0.0000 25.6132
0.0000 0.0000 30.2926
0.0000 0.0000 34.7234
0.0000 0.0000 39.5022
0.0000 0.0000 44.2770
```

VASP energy: -148.47 eV for the cell shown
Density of states at the Fermi level: 0.915 states/eV/atom
Raw formation energy: -3.491 eV/atom

=====

[3]
## Li2MgAsO4 (GGA-PBE)

Data for a geometry-optimized Li2MgAsO4 structure.

The structure in POSCAR format:
```
Li2MgAsO4
1.0
-2.3001 2.3001 4.5277
2.3001 -2.3001 4.5277
2.3001 2.3001 -4.5277
Li Mg As O
2 1 1 4
Cartesian
0.0000 0.0000 0.0000
0.0000 2.3001 2.2638
0.0000 0.0000 4.5277
2.3001 0.0000 2.2638
1.0891 1.2375 -1.1738
3.3627 1.0891 1.1738
1.2111 1.0626 3.3539
-1.0626 1.2111 5.7015
```

VASP energy: -44.42 eV for the cell shown
Density of states at the Fermi level: 0.271 states/eV/atom
Raw formation energy: -1.815 eV/atom

=====

[4]
## La3VOs (GGA-PBE)

Data for a geometry-optimized La3VOs structure.

The structure in POSCAR format:
```
La3VOs
1.0
5.5840 0.0000 0.0000
0.0000 5.5840 0.0000
0.0000 0.0000 5.5840
La V Os
3 1 1
Cartesian
0.0000 0.0000 2.7920
0.0000 2.7920 0.0000
2.7920 0.0000 0.0000
2.7920 2.7920 2.7920
0.0000 0.0000 0.0000
```

E_form: 0.3958 eV per atom
VASP energy: -33.15 eV for the cell shown
Density of states at the Fermi level: 1.185 states/eV/atom